Fe3NiPd6: relaxed, GGA-PBE.

For the formation energy, the calculation gives 0.11 eV per atom. Its energy above the most stable polymorph in this dataset is 166 meV/atom. As for the density of states at the Fermi level: 18.5 states/eV per cell. Its total energy is -6.121 eV/atom.

The space group is C2/m (No. 12) and the conventional cell measures 8.7269, 5.2843 and 7.4684 Å, with angles of 90.00, 120.94 and 90.00 degrees. The asymmetric unit holds Fe at (0.0000, 0.0000, 0.0000), Fe at (0.0288, 0.0000, 0.6820), Ni at (0.0000, 0.5000, 0.5000), Pd at (0.1454, 0.5000, 0.9259) and Pd at (0.2128, 0.2575, 0.3042).


Fe3Ni2Pd3: relaxed, GGA-PBE.

For the formation energy, the calculation gives -0.05 eV per atom. As for the density of states at the Fermi level: 5.3 states/eV per cell. Its total energy is -6.617 eV/atom.

The space group is Pmmm (No. 47) and the conventional cell measures 3.6821, 3.7783 and 7.5940 Å, with angles of 90.00, 90.00 and 90.00 degrees. The asymmetric unit holds Fe at (0.0000, 0.0000, 0.0000), Fe at (0.0000, 0.0000, 0.5000), Fe at (0.5000, 0.5000, 0.0000), Ni at (0.0000, 0.5000, 0.2393), Pd at (0.5000, 0.0000, 0.2421) and Pd at (0.5000, 0.5000, 0.5000).


FeNiPdPt: relaxed, GGA-PBE.

For the formation energy, the calculation gives -0.07 eV per atom. Its energy above the most stable polymorph in this dataset is 70 meV/atom. As for the density of states at the Fermi level: 13.2 states/eV per cell. Its total energy is -6.441 eV/atom.

The space group is F-43m (No. 216) and the conventional cell measures 6.0400, 6.0400 and 6.0400 Å, with angles of 90.00, 90.00 and 90.00 degrees. The asymmetric unit holds Fe at (0.0000, 0.0000, 0.0000), Ni at (0.0000, 0.0000, 0.5000), Pd at (0.2500, 0.2500, 0.2500) and Pt at (0.2500, 0.2500, 0.7500).